[1]
Compound: Pm2Cu4Ge3Pt
Source: Alexandria
Functional: PBE-GGA
Structure: optimized geometry

Output
Energy of formation   -0.5156 eV/atom

a b c (Å): 4.173 4.173 10.141
angles (deg): 90.00 90.00 90.00
Fractional positions:
Pm 0.000 0.500 0.248
Pm 0.500 0.000 0.752
Cu 0.000 0.000 0.000
Cu 0.000 0.500 0.639
Cu 0.500 0.000 0.361
Cu 0.500 0.500 0.000
Ge 0.000 0.500 0.871
Ge 0.500 0.000 0.129
Ge 0.500 0.500 0.500
Pt 0.000 0.000 0.500

***

[2]
Compound: Ba2LiBH
Source: Alexandria
Functional: PBE-GGA
Structure: optimized geometry

a b c (Å): 5.837 5.837 3.579
angles (deg): 90.00 90.00 90.00
Fractional positions:
Ba 0.000 0.500 0.000
Ba 0.500 0.000 0.000
Li 0.000 0.000 0.000
B 0.500 0.500 0.500
H 0.000 0.000 0.500

***

[3]
Compound: KZrZnB2
Source: Alexandria
Functional: PBE-GGA
Structure: optimized geometry

Output
Energy of formation   2.8441 eV/atom

a b c (Å): 4.618 4.618 4.933
angles (deg): 90.00 90.00 90.00
Fractional positions:
K 0.000 0.000 0.000
Zr 0.000 0.000 0.500
Zn 0.500 0.500 0.500
B 0.000 0.500 0.000
B 0.500 0.000 0.000

***

Number 1: total energy -50.93 eV per formula unit, N(E_F) 4.24 states/eV per cell, spin magnetization 0.00 μB per formula unit. Number 2: total energy -12.20 eV per formula unit, N(E_F) 3.74 states/eV per cell, spin magnetization 0.76 μB per formula unit. Number 3: total energy -10.05 eV per formula unit, N(E_F) 5.68 states/eV per cell, spin magnetization 0.58 μB per formula unit.